Material: Sc3CdC
Method: DFT, PBE
State: relaxed

abc: 6.515 6.499 6.500
angles: 60.15 59.96 59.96
Fractional coordinates of all 10 atoms:
Cd  0.342  0.303  0.096
Cd  0.871  0.775  0.568
Sc  0.846  0.283  0.585
Sc  0.368  0.780  0.574
Sc  0.366  0.286  0.588
Sc  0.845  0.297  0.091
Sc  0.366  0.794  0.080
C  0.606  0.539  0.332
C  0.606  0.039  0.832
Sc  0.846  0.791  0.077

Summary:
Size of the total moment ... 0.0 Bohr magnetons per cell
Energy above the lowest structure with this stoichiometry ... 0.1649 eV/atom
Energy of formation ... -299 meV/atom


Material: BeRe3N
Method: DFT, PBE
State: relaxed

abc: 4.010 4.010 4.010
angles: 90.00 90.00 90.00
Fractional coordinates of all 5 atoms:
Re  0.500  0.000  0.000
Re  0.000  0.500  0.000
Re  0.000  0.000  0.500
N  0.000  0.000  0.000
Be  0.500  0.500  0.500

Summary:
Size of the total moment ... 0.0 Bohr magnetons per cell
Energy above the lowest structure with this stoichiometry ... 0.0000 eV/atom
Formation energy from raw total energies ... 448.3 meV per atom


Material: LaFe2Au2
Method: DFT, PBE
State: relaxed

abc: 7.667 7.667 3.143
angles: 90.00 90.00 90.00
Fractional coordinates of all 10 atoms:
Fe  0.889  0.611  0.000
Fe  0.389  0.889  0.000
La  0.000  0.000  0.000
Fe  0.111  0.389  0.000
Fe  0.611  0.111  0.000
Au  0.321  0.179  0.500
Au  0.821  0.321  0.500
La  0.500  0.500  0.000
Au  0.179  0.679  0.500
Au  0.679  0.821  0.500

Summary:
Size of the total moment ... 9.6 Bohr magnetons per cell
Energy of formation ... -14 meV/atom


Material: Ba2InSbP
Method: DFT, PBE
State: relaxed

abc: 4.775 7.968 10.321
angles: 107.47 90.00 90.00
Fractional coordinates of all 10 atoms:
In  0.250  0.508  0.750
Sb  0.750  0.300  0.694
Ba  0.250  0.196  0.391
P  0.250  0.836  0.823
P  0.750  0.164  0.177
Ba  0.750  0.768  0.021
Ba  0.250  0.232  0.979
Sb  0.250  0.700  0.306
In  0.750  0.492  0.250
Ba  0.750  0.804  0.609

Summary:
Size of the total moment ... 0.0 Bohr magnetons per cell
Energy above the lowest structure with this stoichiometry ... 0.0000 eV/atom
Formation energy from raw total energies ... -777.7 meV per atom


Material: RbZn2Ga
Method: DFT, PBE
State: relaxed

abc: 5.769 5.769 8.894
angles: 71.08 71.08 90.00
Fractional coordinates of all 8 atoms:
Ga  0.250  0.750  0.500
Zn  0.374  0.625  0.250
Zn  0.875  0.626  0.750
Rb  0.000  0.000  0.000
Zn  0.376  0.125  0.250
Zn  0.375  0.624  0.750
Ga  0.500  0.500  0.000
Rb  0.750  0.250  0.500

Summary:
Size of the total moment ... 0.0 Bohr magnetons per cell
Energy of formation ... 101 meV/atom


Material: Zr2ReHg
Method: DFT, PBE
State: relaxed

abc: 3.334 3.354 7.950
angles: 65.06 90.00 90.00
Fractional coordinates of all 4 atoms:
Zr  0.000  0.030  0.970
Hg  0.500  0.250  0.250
Zr  0.000  0.470  0.530
Re  0.500  0.750  0.750

Summary:
Size of the total moment ... 0.0 Bohr magnetons per cell
Energy of formation ... -246 meV/atom


Material: CdIn8Pd6
Method: DFT, PBE
State: relaxed

abc: 7.239 7.239 7.239
angles: 66.81 66.81 66.81
Fractional coordinates of all 15 atoms:
Pd  0.950  0.611  0.286
Pd  0.611  0.286  0.950
In  0.880  0.210  0.558
In  0.333  0.333  0.333
Pd  0.714  0.050  0.389
In  0.442  0.120  0.790
In  0.210  0.558  0.880
Pd  0.050  0.389  0.714
Pd  0.389  0.714  0.050
In  0.558  0.880  0.210
In  0.790  0.442  0.120
Cd  0.000  0.000  0.000
Pd  0.286  0.950  0.611
In  0.120  0.790  0.442
In  0.667  0.667  0.667

Summary:
Size of the total moment ... 0.0 Bohr magnetons per cell
Energy of formation ... -453 meV/atom


Material: LiPdI
Method: DFT, PBE
State: relaxed

abc: 4.805 7.250 4.262
angles: 91.67 67.58 96.07
Fractional coordinates of all 6 atoms:
I  0.563  0.684  0.098
Pd  0.156  0.675  0.760
Li  0.975  0.898  0.378
I  0.227  0.149  0.795
Li  0.061  0.420  0.312
Pd  0.739  0.338  0.936

Summary:
Size of the total moment ... 0.0 Bohr magnetons per cell
Energy above the lowest structure with this stoichiometry ... 0.1082 eV/atom
Formation energy from raw total energies ... -449.1 meV per atom


| no. | final energy (eV/cell) |
| --- | --- |
| 1 | -61.3 |
| 2 | -47.2 |
| 3 | -57.0 |
| 4 | -40.0 |
| 5 | -12.3 |
| 6 | -30.8 |
| 7 | -60.8 |
| 8 | -20.0 |